No. 1
First-principles (PBE-GGA) data for TlGaSe2O after structural relaxation, as listed in Alexandria.

a b c (Å): 4.8193 7.0323 4.8193
angles (deg): 90.00 90.00 90.00
Each line ends with the local moment (μB).
Fractional positions:
O 0.5000 0.5000 0.5000  -1.01
Tl 0.0000 0.5000 0.0000  0.01
Ga 0.0000 0.0000 0.0000  0.00
Se 0.0000 0.0000 0.5000  0.02
Se 0.5000 0.0000 0.0000  0.01

Calculated values
formation energy without anion corrections	0.438	eV per atom

***

No. 2
First-principles (PBE-GGA) data for SbAsOs2 after structural relaxation, as listed in Alexandria.

a b c (Å): 3.0655 5.2661 5.4030
angles (deg): 49.25 90.00 90.00
Fractional positions:
Sb 0.5000 0.5000 0.5000
As 0.0000 0.0000 0.5000
Os 0.0000 0.0000 0.0000
Os 0.5000 0.5000 0.0000

Calculated values
relative energy among the computed polymorphs	0.224	eV per atom
formation energy without anion corrections	0.522	eV per atom

***

No. 3
First-principles (PBE-GGA) data for Ti2CuSi after structural relaxation, as listed in Alexandria.

a b c (Å): 3.8134 3.8896 3.8896
angles (deg): 90.00 90.00 90.00
Fractional positions:
Si 0.5000 0.0000 0.0000
Cu 0.5000 0.5000 0.5000
Ti 0.0000 0.0000 0.5000
Ti 0.0000 0.5000 0.0000

Calculated values
formation energy without anion corrections	-0.388	eV per atom

***

No. 4
First-principles (PBE-GGA) data for Pr3Ho6Tm2In after structural relaxation, as listed in Alexandria.

a b c (Å): 6.1479 6.1479 11.6139
angles (deg): 95.06 95.06 119.97
Each line ends with the local moment (μB).
Fractional positions:
Pr 0.1667 0.8333 0.5000  0.00
Pr 0.8333 0.1667 0.5000  0.00
Pr 0.5000 0.5000 0.5000  0.00
Ho 0.9203 0.5922 0.7590  0.02
Ho 0.7518 0.7518 0.2417  0.01
Ho 0.0797 0.4078 0.2410  0.02
Ho 0.5922 0.9203 0.7590  0.02
Ho 0.2482 0.2482 0.7583  0.01
Ho 0.4078 0.0797 0.2410  0.02
Tm 0.3338 0.6662 0.0000  0.07
Tm 0.6662 0.3338 0.0000  0.07
In 0.0000 0.0000 0.0000  0.00

Calculated values
E_form	-30	meV/atom

***

No. 5
First-principles (PBE-GGA) data for PrSi3Ir5 after structural relaxation, as listed in Alexandria.

a b c (Å): 3.9438 6.5020 12.3965
angles (deg): 90.00 90.00 107.65
Fractional positions:
Pr 0.8416 0.6832 0.7500
Pr 0.1584 0.3168 0.2500
Si 0.3861 0.7721 0.9592
Si 0.8789 0.7579 0.2500
Si 0.3861 0.7721 0.5408
Si 0.6139 0.2279 0.4592
Si 0.1211 0.2421 0.7500
Si 0.6139 0.2279 0.0408
Ir 0.7959 0.5918 0.4269
Ir 0.2041 0.4082 0.9269
Ir 0.0000 0.0000 0.5000
Ir 0.0000 0.0000 0.0000
Ir 0.4461 0.8923 0.1462
Ir 0.5539 0.1077 0.8538
Ir 0.5539 0.1077 0.6462
Ir 0.7959 0.5918 0.0731
Ir 0.2041 0.4082 0.5731
Ir 0.4461 0.8923 0.3538

Calculated values
formation energy without anion corrections	-0.683	eV per atom

***

No. 6
First-principles (PBE-GGA) data for KCuSb2As after structural relaxation, as listed in Alexandria.

a b c (Å): 5.8170 5.4732 5.8170
angles (deg): 90.00 90.00 90.00
Fractional positions:
Sb 0.0000 0.0000 0.5000
Sb 0.5000 0.0000 0.0000
As 0.0000 0.5000 0.0000
K 0.0000 0.0000 0.0000
Cu 0.5000 0.5000 0.5000

Calculated values
formation energy without anion corrections	1.669	eV per atom